Record 1
# PBE Ce3Nb, relaxed
data_Ce3Nb
_chemical_formula_sum 'Ce6 Nb2'
_cell_length_a 3.037
_cell_length_b 10.356
_cell_length_c 6.036
_cell_angle_alpha 90.00
_cell_angle_beta 90.00
_cell_angle_gamma 90.00
_symmetry_space_group_name_H-M 'I m m 2'
_symmetry_Int_Tables_number 44
loop_
_symmetry_equiv_pos_as_xyz
'x,y,z'
'-x,-y,z'
'-x,y,z'
'x,-y,z'
'x+1/2,y+1/2,z+1/2'
'-x+1/2,-y+1/2,z+1/2'
'-x+1/2,y+1/2,z+1/2'
'x+1/2,-y+1/2,z+1/2'
loop_
_atom_site_label
_atom_site_type_symbol
_atom_site_fract_x
_atom_site_fract_y
_atom_site_fract_z
Ce1 Ce 0.000 0.000 0.000
Ce2 Ce 0.000 0.241 0.785
Nb1 Nb 0.000 0.500 0.999
# Relative energy among the computed polymorphs in meV per atom: 6
# Calculated total energy in eV/atom: -6.7861
# Formation enthalpy at 0 K in meV per atom: 181.7


Record 2
# PBE LaHoLuPu, relaxed
data_LaHoLuPu
_chemical_formula_sum 'La4 Ho4 Lu4 Pu4'
_cell_length_a 7.973
_cell_length_b 7.973
_cell_length_c 7.973
_cell_angle_alpha 90.00
_cell_angle_beta 90.00
_cell_angle_gamma 90.00
_symmetry_space_group_name_H-M 'F -4 3 m'
_symmetry_Int_Tables_number 216
_symmetry_space_group_name_Hall 'F -4 2 3'
loop_
_atom_site_label
_atom_site_type_symbol
_atom_site_fract_x
_atom_site_fract_y
_atom_site_fract_z
La1 La 0.000 0.000 0.000
Ho1 Ho 0.250 0.250 0.250
Lu1 Lu 0.250 0.250 0.750
Pu1 Pu 0.000 0.000 0.500
# Calculated total energy in eV/atom: -6.8844
# Formation enthalpy at 0 K in meV per atom: 205.2


Record 3
# PBE LiRuCl4, relaxed
data_LiRuCl4
_chemical_formula_sum 'Li2 Ru2 Cl8'
_cell_length_a 12.577
_cell_length_b 3.597
_cell_length_c 6.320
_cell_angle_alpha 90.00
_cell_angle_beta 99.15
_cell_angle_gamma 90.00
_symmetry_space_group_name_H-M 'C 1 2/m 1'
_symmetry_Int_Tables_number 12
loop_
_symmetry_equiv_pos_as_xyz
'x,y,z'
'-x,-y,-z'
'-x,y,-z'
'x,-y,z'
'x+1/2,y+1/2,z'
'-x+1/2,-y+1/2,-z'
'-x+1/2,y+1/2,-z'
'x+1/2,-y+1/2,z'
loop_
_atom_site_label
_atom_site_type_symbol
_atom_site_fract_x
_atom_site_fract_y
_atom_site_fract_z
Li1 Li 0.000 0.000 0.000
Ru1 Ru 0.000 0.500 0.500
Cl1 Cl 0.104 0.500 0.847
Cl2 Cl 0.106 0.000 0.397
# Relative energy among the computed polymorphs in meV per atom: 0
# Calculated total energy in eV/atom: -4.0175


Record 4
# PBE Cs3HgGe2I9, relaxed
data_Cs3HgGe2I9
_chemical_formula_sum 'Cs3 Hg1 Ge2 I9'
_cell_length_a 8.5148
_cell_length_b 8.5148
_cell_length_c 10.4328
_cell_angle_alpha 90.00
_cell_angle_beta 90.00
_cell_angle_gamma 120.00
_symmetry_space_group_name_H-M 'P -3 m 1'
_symmetry_Int_Tables_number 164
_symmetry_space_group_name_Hall '-P 3 2"'
loop_
_atom_site_label
_atom_site_type_symbol
_atom_site_fract_x
_atom_site_fract_y
_atom_site_fract_z
Cs1 Cs 0.0000 0.0000 0.0000
Cs2 Cs 0.3333 0.6667 0.6663
Hg1 Hg 0.0000 0.0000 0.5000
Ge1 Ge 0.3333 0.6667 0.1656
I1 I 0.0000 0.5000 0.0000
I2 I 0.1688 0.3375 0.3296
# Calculated total energy in eV/atom: -2.5280


Record 5
# PBE V2BRh, relaxed
data_V2BRh
_chemical_formula_sum 'V8 B4 Rh4'
_cell_length_a 6.843
_cell_length_b 6.843
_cell_length_c 4.319
_cell_angle_alpha 90.00
_cell_angle_beta 90.00
_cell_angle_gamma 90.00
_symmetry_space_group_name_H-M 'I -4 2 d'
_symmetry_Int_Tables_number 122
_symmetry_space_group_name_Hall 'I -4 2bw'
loop_
_atom_site_label
_atom_site_type_symbol
_atom_site_fract_x
_atom_site_fract_y
_atom_site_fract_z
V1 V 0.158 0.250 0.125
B1 B 0.000 0.000 0.000
Rh1 Rh 0.000 0.000 0.500
# Relative energy among the computed polymorphs in meV per atom: 334
# Calculated total energy in eV/atom: -8.0427
# Formation enthalpy at 0 K in meV per atom: 23.8


Record 6
# PBE Tl4In4Hg, relaxed
data_Tl4In4Hg
_chemical_formula_sum 'Tl8 In8 Hg2'
_cell_length_a 10.772
_cell_length_b 10.772
_cell_length_c 4.456
_cell_angle_alpha 90.00
_cell_angle_beta 90.00
_cell_angle_gamma 90.00
_symmetry_space_group_name_H-M 'I 4/m m m'
_symmetry_Int_Tables_number 139
_symmetry_space_group_name_Hall '-I 4 2'
loop_
_atom_site_label
_atom_site_type_symbol
_atom_site_fract_x
_atom_site_fract_y
_atom_site_fract_z
Tl1 Tl 0.165 0.165 0.000
In1 In 0.000 0.342 0.500
Hg1 Hg 0.000 0.000 0.500
# Relative energy among the computed polymorphs in meV per atom: 0
# Calculated total energy in eV/atom: -2.2817
# Formation enthalpy at 0 K in meV per atom: 20.6


| no. | total magnetic moment (μB/cell) |
| --- | --- |
| 1 | 0.00 |
| 2 | 24.09 |
| 3 | 2.01 |
| 4 | 0.00 |
| 5 | 0.00 |
| 6 | 0.00 |